# 1
Below is crystalline PmPrNi at its relaxed geometry, with properties calculated at the GGA-PBE level.

As for the energy of formation from the pure elements: -207 meV/atom. Its total magnetization is 0.000 μB per atom. For the uncorrected energy, the calculation gives -5.31 eV/atom.

The space group is P-1 (No. 2) and the conventional cell measures 3.813, 6.533 and 7.081 Å, with angles of 75.61, 74.46 and 73.11 degrees. Symmetry generates all atoms from Pm at (0.086, 0.215, 0.114), Pr at (0.330, 0.261, 0.578) and Ni at (0.378, 0.571, 0.173).

---

# 2
Below is crystalline Nd3SnIr8 at its relaxed geometry, with properties calculated at the GGA-PBE level.

As for the energy of formation from the pure elements: -505 meV/atom. Its total magnetization is 0.000 μB per atom. For the uncorrected energy, the calculation gives -7.94 eV/atom.

The space group is R3m (No. 160, hexagonal axes) and the conventional cell measures 5.4197, 5.4197 and 26.4941 Å, with angles of 90.00, 90.00 and 120.00 degrees. Symmetry generates all atoms from Nd at (0.0000, 0.0000, 0.0000), Nd at (0.0000, 0.0000, 0.1274), Nd at (0.0000, 0.0000, 0.5071), Sn at (0.0000, 0.0000, 0.6309), Ir at (0.0000, 0.0000, 0.3147), Ir at (0.0000, 0.0000, 0.8151), Ir at (0.9996, 0.4998, 0.5654) and Ir at (0.1673, 0.3346, 0.3982).

---

# 3
Below is crystalline RbReSb3 at its relaxed geometry, with properties calculated at the GGA-PBE level.

Its total magnetization is 0.000 μB per atom. For the uncorrected energy, the calculation gives -2.31 eV/atom. For the formation energy from raw total energies, the calculation gives 2849 meV per atom.

The space group is Pm-3m (No. 221) and the conventional cell measures 5.618, 5.618 and 5.618 Å, with angles of 90.00, 90.00 and 90.00 degrees. Symmetry generates all atoms from Rb at (0.000, 0.000, 0.000), Re at (0.500, 0.500, 0.500) and Sb at (0.000, 0.000, 0.500).

---

# 4
Below is crystalline ZnCrPtW2 at its relaxed geometry, with properties calculated at the GGA-PBE level.

As for the energy of formation from the pure elements: 2018 meV/atom. Its total magnetization is 0.075 μB per atom. For the uncorrected energy, the calculation gives -6.55 eV/atom.

The space group is P4/mmm (No. 123) and the conventional cell measures 4.808, 4.808 and 4.530 Å, with angles of 90.00, 90.00 and 90.00 degrees. Symmetry generates all atoms from Zn at (0.000, 0.000, 0.000), Cr at (0.500, 0.500, 0.000), Pt at (0.000, 0.000, 0.500) and W at (0.000, 0.500, 0.500).

---

# 5
Below is crystalline Dy2Y5Tm2 at its relaxed geometry, with properties calculated at the GGA-PBE level.

As for the energy of formation from the pure elements: 201 meV/atom. Its total magnetization is 0.000 μB per atom. For the uncorrected energy, the calculation gives -5.41 eV/atom.

The space group is Ima2 (No. 46) and the conventional cell measures 15.143, 12.719 and 6.058 Å, with angles of 90.00, 90.00 and 90.00 degrees. Symmetry generates all atoms from Dy at (0.000, 0.000, 0.000), Dy at (0.250, 0.050, 0.873), Y at (0.046, 0.195, 0.582), Y at (0.143, 0.688, 0.419), Y at (0.250, 0.184, 0.334) and Tm at (0.138, 0.548, 0.928).

---

# 6
Below is crystalline Er4TmCo4 at its relaxed geometry, with properties calculated at the GGA-PBE level.

As for the energy of formation from the pure elements: -91 meV/atom. Its total magnetization is 0.000 μB per atom. For the uncorrected energy, the calculation gives -5.77 eV/atom.

The space group is P4_2/n (No. 86, origin choice 2) and the conventional cell measures 8.317, 8.317 and 5.516 Å, with angles of 90.00, 90.00 and 90.00 degrees. Symmetry generates all atoms from Er at (0.061, 0.674, 0.131), Tm at (0.250, 0.250, 0.250) and Co at (0.012, 0.613, 0.615).

---

# 7
Below is crystalline Ba2AgHg at its relaxed geometry, with properties calculated at the GGA-PBE level.

As for the energy of formation from the pure elements: -208 meV/atom. Its total magnetization is 0.000 μB per atom. For the uncorrected energy, the calculation gives -1.96 eV/atom.

The space group is I-4m2 (No. 119) and the conventional cell measures 4.930, 4.930 and 12.128 Å, with angles of 90.00, 90.00 and 90.00 degrees. Symmetry generates all atoms from Ba at (0.000, 0.000, 0.000), Ba at (0.000, 0.500, 0.250), Ag at (0.000, 0.000, 0.500) and Hg at (0.000, 0.500, 0.750).

---

# 8
Below is crystalline CsZn2CdAg at its relaxed geometry, with properties calculated at the GGA-PBE level.

As for the energy of formation from the pure elements: 115 meV/atom. Its total magnetization is 0.000 μB per atom. For the uncorrected energy, the calculation gives -1.32 eV/atom.

The space group is P4/mmm (No. 123) and the conventional cell measures 5.220, 5.220 and 5.516 Å, with angles of 90.00, 90.00 and 90.00 degrees. Symmetry generates all atoms from Cs at (0.000, 0.000, 0.000), Zn at (0.000, 0.500, 0.500), Cd at (0.500, 0.500, 0.000) and Ag at (0.500, 0.500, 0.500).

---

# 9
Below is crystalline NaGa2Ge2 at its relaxed geometry, with properties calculated at the GGA-PBE level.

As for the energy of formation from the pure elements: -6 meV/atom. Its total magnetization is 0.000 μB per atom. For the uncorrected energy, the calculation gives -3.33 eV/atom.

The space group is P-1 (No. 2) and the conventional cell measures 5.747, 6.514 and 6.916 Å, with angles of 70.11, 77.18 and 70.82 degrees. Symmetry generates all atoms from Na at (0.248, 0.379, 0.224), Ga at (0.266, 0.928, 0.052), Ga at (0.277, 0.748, 0.496), Ge at (0.145, 0.062, 0.678) and Ge at (0.323, 0.337, 0.768).

---

# 10
Below is crystalline Tb3Nd4Tm at its relaxed geometry, with properties calculated at the GGA-PBE level.

As for the energy of formation from the pure elements: 162 meV/atom. Its total magnetization is 0.000 μB per atom. For the uncorrected energy, the calculation gives -4.52 eV/atom.

The space group is C2/m (No. 12) and the conventional cell measures 23.594, 3.503 and 6.840 Å, with angles of 90.00, 106.70 and 90.00 degrees. Symmetry generates all atoms from Tb at (0.000, 0.000, 0.000), Tb at (0.122, 0.000, 0.382), Nd at (0.123, 0.000, 0.867), Nd at (0.241, 0.500, 0.736) and Tm at (0.000, 0.500, 0.500).

---

# 11
Below is crystalline Ta2TiBeAg at its relaxed geometry, with properties calculated at the GGA-PBE level.

As for the energy of formation from the pure elements: 1515 meV/atom. Its total magnetization is 0.321 μB per atom. For the uncorrected energy, the calculation gives -6.12 eV/atom.

The space group is P4/mmm (No. 123) and the conventional cell measures 4.980, 4.980 and 4.058 Å, with angles of 90.00, 90.00 and 90.00 degrees. Symmetry generates all atoms from Ta at (0.000, 0.500, 0.000), Ti at (0.000, 0.000, 0.500), Be at (0.500, 0.500, 0.500) and Ag at (0.500, 0.500, 0.000).

---

# 12
Below is crystalline Ac4Nd3NpN8 at its relaxed geometry, with properties calculated at the GGA-PBE level.

Its total magnetization is 0.173 μB per atom. For the uncorrected energy, the calculation gives -8.05 eV/atom. For the formation energy from raw total energies, the calculation gives -1154 meV per atom.

The space group is R-3m (No. 166, hexagonal axes) and the conventional cell measures 7.4195, 7.4195 and 18.5320 Å, with angles of 90.00, 90.00 and 120.00 degrees. Symmetry generates all atoms from Ac at (0.0000, 0.0000, 0.0000), Ac at (0.0000, 0.5000, 0.0000), Nd at (0.0000, 0.5000, 0.5000), Np at (0.0000, 0.0000, 0.5000), N at (0.0000, 0.0000, 0.2449) and N at (0.0311, 0.5155, 0.2373).

---

# 13
Below is crystalline CsRbZnAs at its relaxed geometry, with properties calculated at the GGA-PBE level.

As for the energy of formation from the pure elements: -280 meV/atom. Its total magnetization is 0.000 μB per atom. For the uncorrected energy, the calculation gives -2.22 eV/atom.

The space group is Cm (No. 8) and the conventional cell measures 7.606, 4.394 and 10.628 Å, with angles of 90.00, 104.27 and 90.00 degrees. Symmetry generates all atoms from Cs at (0.000, 0.000, 0.000), Rb at (0.313, 0.500, 0.456), Zn at (0.070, 0.500, 0.721) and As at (0.237, 0.000, 0.723).

---

# 14
Below is crystalline ReNiAg at its relaxed geometry, with properties calculated at the GGA-PBE level.

As for the energy of formation from the pure elements: 320 meV/atom. Its total magnetization is 0.000 μB per atom. For the uncorrected energy, the calculation gives -6.71 eV/atom.

The space group is I4mm (No. 107) and the conventional cell measures 2.709, 2.709 and 11.875 Å, with angles of 90.00, 90.00 and 90.00 degrees. Symmetry generates all atoms from Re at (0.000, 0.000, 0.000), Ni at (0.000, 0.000, 0.638) and Ag at (0.000, 0.000, 0.310).

---

# 15
Below is crystalline LiBeP3 at its relaxed geometry, with properties calculated at the GGA-PBE level.

As for the energy of formation from the pure elements: 433 meV/atom. Its total magnetization is 0.000 μB per atom. For the uncorrected energy, the calculation gives -3.94 eV/atom.

The space group is Pm-3m (No. 221) and the conventional cell measures 4.319, 4.319 and 4.319 Å, with angles of 90.00, 90.00 and 90.00 degrees. Symmetry generates all atoms from Li at (0.000, 0.000, 0.000), Be at (0.500, 0.500, 0.500) and P at (0.000, 0.500, 0.500).

---

# 16
Below is crystalline LiReO3 at its relaxed geometry, with properties calculated at the GGA-PBE level.

Its total magnetization is 0.000 μB per atom. For the uncorrected energy, the calculation gives -7.52 eV/atom. For the formation energy from raw total energies, the calculation gives -1672 meV per atom.

The space group is C2/c (No. 15) and the conventional cell measures 10.502, 8.773 and 5.043 Å, with angles of 90.00, 99.93 and 90.00 degrees. Symmetry generates all atoms from Li at (0.182, 0.103, 0.324), Re at (0.000, 0.232, 0.750), Re at (0.000, 0.449, 0.250), O at (0.095, 0.278, 0.094), O at (0.114, 0.093, 0.669) and O at (0.126, 0.405, 0.599).

---

# 17
Below is crystalline TcSe at its relaxed geometry, with properties calculated at the GGA-PBE level.

Its total magnetization is 0.000 μB per atom. For the uncorrected energy, the calculation gives -6.78 eV/atom. For the formation energy from raw total energies, the calculation gives 142 meV per atom.

The space group is P6_3/mmc (No. 194) and the conventional cell measures 3.9179, 3.9179 and 5.2431 Å, with angles of 90.00, 90.00 and 120.00 degrees. Symmetry generates all atoms from Tc at (0.0000, 0.0000, 0.0000) and Se at (0.3333, 0.6667, 0.2500).

---

# 18
Below is crystalline Mg2AlCdHg at its relaxed geometry, with properties calculated at the GGA-PBE level.

As for the energy of formation from the pure elements: 278 meV/atom. Its total magnetization is 0.000 μB per atom. For the uncorrected energy, the calculation gives -1.35 eV/atom.

The space group is P4/mmm (No. 123) and the conventional cell measures 5.282, 5.282 and 5.187 Å, with angles of 90.00, 90.00 and 90.00 degrees. Symmetry generates all atoms from Mg at (0.000, 0.500, 0.000), Al at (0.000, 0.000, 0.000), Cd at (0.500, 0.500, 0.500) and Hg at (0.000, 0.000, 0.500).

---

# 19
Below is crystalline Ta3BiSb at its relaxed geometry, with properties calculated at the GGA-PBE level.

Its total magnetization is 0.000 μB per atom. For the uncorrected energy, the calculation gives -6.50 eV/atom. For the formation energy from raw total energies, the calculation gives 2216 meV per atom.

The space group is Pm-3m (No. 221) and the conventional cell measures 5.157, 5.157 and 5.157 Å, with angles of 90.00, 90.00 and 90.00 degrees. Symmetry generates all atoms from Ta at (0.000, 0.000, 0.500), Bi at (0.000, 0.000, 0.000) and Sb at (0.500, 0.500, 0.500).

---

# 20
Below is crystalline TaTl3Cd at its relaxed geometry, with properties calculated at the GGA-PBE level.

As for the energy of formation from the pure elements: 1385 meV/atom. Its total magnetization is 0.696 μB per atom. For the uncorrected energy, the calculation gives -2.59 eV/atom.

The space group is Pm-3m (No. 221) and the conventional cell measures 5.512, 5.512 and 5.512 Å, with angles of 90.00, 90.00 and 90.00 degrees. Symmetry generates all atoms from Ta at (0.000, 0.000, 0.000), Tl at (0.000, 0.500, 0.500) and Cd at (0.500, 0.500, 0.500).

---

# 21
Below is crystalline Ca2Zn5Ga at its relaxed geometry, with properties calculated at the GGA-PBE level.

As for the energy of formation from the pure elements: -290 meV/atom. Its total magnetization is 0.000 μB per atom. For the uncorrected energy, the calculation gives -1.96 eV/atom.

The space group is Cmcm (No. 63) and the conventional cell measures 4.416, 16.142 and 9.039 Å, with angles of 90.00, 90.00 and 90.00 degrees. Symmetry generates all atoms from Ca at (0.000, 0.000, 0.000), Ca at (0.000, 0.200, 0.250), Zn at (0.000, 0.187, 0.608), Zn at (0.000, 0.350, 0.521), Zn at (0.000, 0.399, 0.250) and Ga at (0.000, 0.444, 0.750).

---

# 22
Below is crystalline La2AlSiGe at its relaxed geometry, with properties calculated at the GGA-PBE level.

Its total magnetization is 0.000 μB per atom. For the uncorrected energy, the calculation gives -5.37 eV/atom. For the formation energy from raw total energies, the calculation gives -638 meV per atom.

The space group is Pmmn (No. 59, origin choice 2) and the conventional cell measures 4.254, 8.089 and 7.708 Å, with angles of 90.00, 90.00 and 90.00 degrees. Symmetry generates all atoms from La at (0.250, 0.009, 0.239), Al at (0.250, 0.250, 0.589), Si at (0.250, 0.750, 0.577) and Ge at (0.250, 0.250, 0.909).

---

# 23
Below is crystalline Ga2PIrOs at its relaxed geometry, with properties calculated at the GGA-PBE level.

As for the energy of formation from the pure elements: 1041 meV/atom. Its total magnetization is 0.396 μB per atom. For the uncorrected energy, the calculation gives -5.27 eV/atom.

The space group is P4/mmm (No. 123) and the conventional cell measures 4.806, 4.806 and 4.386 Å, with angles of 90.00, 90.00 and 90.00 degrees. Symmetry generates all atoms from Ga at (0.000, 0.500, 0.000), P at (0.000, 0.000, 0.500), Ir at (0.000, 0.000, 0.000) and Os at (0.500, 0.500, 0.500).

---

# 24
Below is crystalline Zr2UAg at its relaxed geometry, with properties calculated at the GGA-PBE level.

As for the energy of formation from the pure elements: 380 meV/atom. Its total magnetization is 0.497 μB per atom. For the uncorrected energy, the calculation gives -7.43 eV/atom.

The space group is R-3m (No. 166, hexagonal axes) and the conventional cell measures 2.9991, 2.9991 and 33.5407 Å, with angles of 90.00, 90.00 and 120.00 degrees. Symmetry generates all atoms from Zr at (0.0000, 0.0000, 0.0906), U at (0.0000, 0.0000, 0.0000) and Ag at (0.0000, 0.0000, 0.5000).